Model w:
## PtF (GGA-PBE)

Data for PtF after structural relaxation.

abc: 3.4393 3.4393 3.4393
angles: 60.00 60.00 60.00
With the nearest neighbours (Å) after each atom.
Fractional positions:
Pt  0.0000  0.0000  0.0000  6 F 2.43
F  0.5000  0.5000  0.5000  6 Pt 2.43

Summary:
theoretical density: 12.4 g cm⁻³



Model x:
## PtF (GGA-PBE)

Data for PtF after structural relaxation.

abc: 6.8108 6.8108 6.8108
angles: 92.33 92.33 156.74
With the nearest neighbours (Å) after each atom.
Fractional positions:
Pt  0.1576  0.1576  0.3153  2 F 2.02
Pt  0.1576  0.8424  0.0000  2 F 2.02
Pt  0.8424  0.1576  0.0000  2 F 2.02
Pt  0.8424  0.8424  0.6847  2 F 2.02
F  0.0000  0.3028  0.3028  2 Pt 2.02
F  0.0000  0.6972  0.6972  2 Pt 2.02
F  0.3028  0.0000  0.3028  2 Pt 2.02
F  0.6972  0.0000  0.6972  2 Pt 2.02

Summary:
theoretical density: 11.6 g cm⁻³



Relative calculated energies, zero for the most stable structure, unit kJ/mol of atoms: model w 93.9; model x 0.0.



Model w:
## RbPt2F (GGA-PBE)

Data for RbPt2F after structural relaxation.

abc: 4.8079 4.8079 4.8079
angles: 60.00 60.00 60.00
With the nearest neighbours (Å) after each atom.
Fractional positions:
Rb  0.0000  0.0000  0.0000  8 Pt 2.94
Pt  0.2500  0.2500  0.2500  4 F 2.94, 4 Rb 2.94
Pt  0.7500  0.7500  0.7500  4 F 2.94, 4 Rb 2.94
F  0.5000  0.5000  0.5000  8 Pt 2.94

Summary:
theoretical density: 10.5 g cm⁻³



Model x:
## RbPt2F (GGA-PBE)

Data for RbPt2F after structural relaxation.

abc: 9.2528 9.2528 9.2528
angles: 148.72 148.72 44.83
With the nearest neighbours (Å) after each atom.
Fractional positions:
Rb  0.0000  0.0000  0.0000  8 Pt 3.46-3.57, 4 F 3.53
Rb  0.7500  0.2500  0.5000  8 Pt 3.46-3.57, 4 F 3.53
Pt  0.3595  0.1250  0.7345  2 F 2.48, 2 Pt 2.50
Pt  0.3750  0.6405  0.7655  2 F 2.48, 2 Pt 2.50
Pt  0.3905  0.6250  0.2655  2 F 2.48, 2 Pt 2.50
Pt  0.8750  0.6095  0.2345  2 F 2.48, 2 Pt 2.50
F  0.2500  0.7500  0.5000  4 Pt 2.48
F  0.5000  0.5000  0.0000  4 Pt 2.48

Summary:
theoretical density: 7.7 g cm⁻³



Relative calculated energies, zero for the most stable structure, unit kJ/mol of atoms: model w 74.8; model x 0.0.